HfHRh2: optimized geometry, PBE.

Results
As for the total magnetic moment: 0.000 μB/atom. The value obtained for the raw total energy is -6.89 eV per atom.

Unit cell a=2.902 b=2.902 c=7.565 alpha=78.94 beta=78.94 gamma=60.00
Fractional coordinates of all 4 atoms:
Rh 0.113 0.113 0.662
Rh 0.887 0.887 0.338
Hf 0.000 0.000 0.000
H 0.500 0.500 0.500